The following is a PBE-GGA calculation of a relaxed AlAs2W crystal, from the Alexandria database.

a b c (Å): 5.1837 5.1837 5.1837
angles (deg): 136.10 136.10 63.82
Fractional positions:
As: 0.2500 0.7500 0.5000
As: 0.0000 0.0000 0.0000
W: 0.5000 0.5000 0.0000
Al: 0.7500 0.2500 0.5000

Properties
Formation energy from the elements: 0.479 eV per atom
Space-group type: No. 119
Total energy: -6.0198 eV/atom
Spin magnetization: 0.35 Bohr magnetons per cell
V: 16.5 Å³/atom

=====

The following is a PBE-GGA calculation of a relaxed LiBe2Cu3 crystal, from the Alexandria database.

a b c (Å): 3.4019 5.1096 5.1096
angles (deg): 120.00 90.00 90.00
Fractional positions:
Cu: 0.0000 0.5000 0.5000
Cu: 0.0000 0.5000 0.0000
Cu: 0.0000 0.0000 0.5000
Li: 0.0000 0.0000 0.0000
Be: 0.5000 0.3333 0.6667
Be: 0.5000 0.6667 0.3333

Properties
Formation energy from the elements: 0.143 eV per atom
Space-group type: No. 191
Total energy: -3.4662 eV/atom
Spin magnetization: 0.00 Bohr magnetons per cell
V: 12.8 Å³/atom

=====

The following is a PBE-GGA calculation of a relaxed KCr2Rh crystal, from the Alexandria database.

a b c (Å): 3.0266 5.0118 5.0118
angles (deg): 90.00 90.00 90.00
Fractional positions:
Cr: 0.0000 0.5000 0.5000
Cr: 0.0000 0.0000 0.0000
Rh: 0.5000 0.0000 0.5000
K: 0.5000 0.5000 0.0000

Properties
Formation energy from the elements: 1.155 eV per atom
Space-group type: No. 123
Total energy: -5.7686 eV/atom
Spin magnetization: 8.57 Bohr magnetons per cell
V: 19.0 Å³/atom

=====

The following is a PBE-GGA calculation of a relaxed CuTe2Mo crystal, from the Alexandria database.

a b c (Å): 3.4843 3.4843 7.4894
angles (deg): 90.00 90.00 90.00
Fractional positions:
Te: 0.0000 0.0000 0.8982
Te: 0.5000 0.5000 0.3621
Mo: 0.5000 0.5000 0.7189
Cu: 0.0000 0.0000 0.5207

Properties
Formation energy without anion corrections: 155 meV per atom
Space-group type: No. 99
Total energy: -5.1474 eV/atom
Spin magnetization: 0.00 Bohr magnetons per cell
V: 22.7 Å³/atom

=====

The following is a PBE-GGA calculation of a relaxed LaCd2Co2 crystal, from the Alexandria database.

a b c (Å): 7.6061 7.6061 3.1838
angles (deg): 90.00 90.00 90.00
Fractional positions:
Co: 0.3353 0.8353 0.0000
Co: 0.8353 0.6647 0.0000
Co: 0.6647 0.1647 0.0000
Co: 0.1647 0.3353 0.0000
La: 0.5000 0.5000 0.0000
La: 0.0000 0.0000 0.0000
Cd: 0.1331 0.6331 0.5000
Cd: 0.3669 0.1331 0.5000
Cd: 0.8669 0.3669 0.5000
Cd: 0.6331 0.8669 0.5000

Properties
Formation energy from the elements: 0.151 eV per atom
Space-group type: No. 127
Total energy: -4.0430 eV/atom
Spin magnetization: 0.00 Bohr magnetons per cell
V: 18.4 Å³/atom

=====

The following is a PBE-GGA calculation of a relaxed Eu2GdHf crystal, from the Alexandria database.

a b c (Å): 3.3885 3.3885 12.6631
angles (deg): 82.31 82.31 60.00
Fractional positions:
Eu: 0.9173 0.9173 0.2481
Eu: 0.0827 0.0827 0.7519
Gd: 0.5000 0.5000 0.5000
Hf: 0.0000 0.0000 0.0000

Properties
Formation energy from the elements: 0.475 eV per atom
Space-group type: No. 166
Total energy: -10.6707 eV/atom
Spin magnetization: 7.52 Bohr magnetons per cell
V: 31.1 Å³/atom

=====

The following is a PBE-GGA calculation of a relaxed CoHgPb2 crystal, from the Alexandria database.

a b c (Å): 5.3848 5.3848 5.3848
angles (deg): 127.74 127.74 77.04
Fractional positions:
Co: 0.2500 0.7500 0.5000
Pb: 0.0000 0.0000 0.0000
Pb: 0.5000 0.5000 0.0000
Hg: 0.7500 0.2500 0.5000

Properties
Formation energy from the elements: 0.514 eV per atom
Space-group type: No. 139
Total energy: -3.1924 eV/atom
Spin magnetization: 1.48 Bohr magnetons per cell
V: 23.7 Å³/atom

=====

The following is a PBE-GGA calculation of a relaxed BaPr2In2O7 crystal, from the Alexandria database.

a b c (Å): 5.9863 5.9863 20.8481
angles (deg): 90.00 90.00 90.00
Fractional positions:
O: 0.5000 0.5000 0.9087
O: 0.0000 0.0000 0.8641
O: 0.0000 0.0000 0.1359
O: 0.2978 0.2978 0.5000
O: 0.6800 0.3200 0.7887
O: 0.0000 0.5000 0.8827
O: 0.5000 0.0000 0.1173
O: 0.0000 0.5000 0.6173
O: 0.0000 0.0000 0.4087
O: 0.5000 0.5000 0.0913
O: 0.1800 0.1800 0.2887
O: 0.5000 0.0000 0.6173
O: 0.5000 0.0000 0.8827
O: 0.3200 0.6800 0.2113
O: 0.5000 0.5000 0.6359
O: 0.0000 0.0000 0.5913
O: 0.0000 0.5000 0.1173
O: 0.5000 0.0000 0.3827
O: 0.8200 0.8200 0.7113
O: 0.7022 0.7022 0.5000
O: 0.8200 0.8200 0.2887
O: 0.5000 0.5000 0.3641
O: 0.3200 0.6800 0.7887
O: 0.0000 0.5000 0.3827
O: 0.1800 0.1800 0.7113
O: 0.6800 0.3200 0.2113
O: 0.2022 0.7978 0.0000
O: 0.7978 0.2022 0.0000
Pr: 0.2788 0.2788 0.8143
Pr: 0.7788 0.2212 0.6857
Pr: 0.7788 0.2212 0.3143
Pr: 0.7212 0.7212 0.1857
Pr: 0.7212 0.7212 0.8143
Pr: 0.2788 0.2788 0.1857
Pr: 0.2212 0.7788 0.3143
Pr: 0.2212 0.7788 0.6857
Ba: 0.2401 0.7599 0.5000
Ba: 0.2599 0.2599 0.0000
Ba: 0.7599 0.2401 0.5000
Ba: 0.7401 0.7401 0.0000
In: 0.7408 0.7408 0.6027
In: 0.7592 0.2408 0.1027
In: 0.2408 0.7592 0.1027
In: 0.2408 0.7592 0.8973
In: 0.7592 0.2408 0.8973
In: 0.2592 0.2592 0.3973
In: 0.2592 0.2592 0.6027
In: 0.7408 0.7408 0.3973

Properties
Formation energy without anion corrections: -2474 meV per atom
Space-group type: No. 136
Total energy: -6.7793 eV/atom
Spin magnetization: 0.00 Bohr magnetons per cell
V: 15.6 Å³/atom

=====

Repeat the seventh record exactly.
The following is a PBE-GGA calculation of a relaxed CoHgPb2 crystal, from the Alexandria database.

a b c (Å): 5.3848 5.3848 5.3848
angles (deg): 127.74 127.74 77.04
Fractional positions:
Co: 0.2500 0.7500 0.5000
Pb: 0.0000 0.0000 0.0000
Pb: 0.5000 0.5000 0.0000
Hg: 0.7500 0.2500 0.5000

Properties
Formation energy from the elements: 0.514 eV per atom
Space-group type: No. 139
Total energy: -3.1924 eV/atom
Spin magnetization: 1.48 Bohr magnetons per cell
V: 23.7 Å³/atom